1.
DFT (PBE) results for Y4AsP3 after structural relaxation.

Structure (CIF):
```
data_Y4AsP3
_chemical_formula_sum 'Y8 As2 P6'
_cell_length_a 8.087
_cell_length_b 11.431
_cell_length_c 4.041
_cell_angle_alpha 90.00
_cell_angle_beta 90.00
_cell_angle_gamma 90.00
_symmetry_space_group_name_H-M 'C m m m'
_symmetry_Int_Tables_number 65
_symmetry_space_group_name_Hall '-C 2 2'
loop_
_atom_site_label
_atom_site_fract_x
_atom_site_fract_y
_atom_site_fract_z
Y1 0.000 0.248 0.000
Y2 0.245 0.000 0.500
As1 0.000 0.500 0.000
P1 0.000 0.000 0.000
P2 0.250 0.250 0.500
```

Magnetic moment   0.000 μB/atom
Calculated volume   373.5 Å³ per cell
Formation energy   -1.607 eV/atom



2.
DFT (PBE) results for YAsP after structural relaxation.

Structure (CIF):
```
data_YAsP
_chemical_formula_sum 'Y1 As1 P1'
_cell_length_a 4.3688
_cell_length_b 4.3688
_cell_length_c 3.7631
_cell_angle_alpha 90.00
_cell_angle_beta 90.00
_cell_angle_gamma 120.00
_symmetry_space_group_name_H-M 'P -6 m 2'
_symmetry_Int_Tables_number 187
_symmetry_space_group_name_Hall 'P -6 2'
loop_
_atom_site_label
_atom_site_fract_x
_atom_site_fract_y
_atom_site_fract_z
Y1 0.0000 0.0000 0.0000
As1 0.6667 0.3333 0.5000
P1 0.3333 0.6667 0.5000
```

Magnetic moment   0.000 μB/atom
Calculated volume   62.2 Å³ per cell
Formation energy   -0.636 eV/atom



3.
DFT (PBE) results for YZrAsP after structural relaxation.

Structure (CIF):
```
data_YZrAsP
_chemical_formula_sum 'Y3 Zr3 As3 P3'
_cell_length_a 3.8563
_cell_length_b 3.8563
_cell_length_c 20.2381
_cell_angle_alpha 90.00
_cell_angle_beta 90.00
_cell_angle_gamma 120.00
_symmetry_space_group_name_H-M 'R 3 m'
_symmetry_Int_Tables_number 160
_symmetry_space_group_name_Hall 'R 3 -2"'
loop_
_atom_site_label
_atom_site_fract_x
_atom_site_fract_y
_atom_site_fract_z
Y1 0.0000 0.0000 0.0000
Zr1 0.0000 0.0000 0.1802
As1 0.0000 0.0000 0.7627
P1 0.0000 0.0000 0.5837
```

Magnetic moment   0.000 μB/atom
Calculated volume   260.6 Å³ per cell
Formation energy   -1.326 eV/atom



4.
DFT (PBE) results for ZnAsP after structural relaxation.

Structure (CIF):
```
data_ZnAsP
_chemical_formula_sum 'Zn4 As4 P4'
_cell_length_a 6.116
_cell_length_b 6.116
_cell_length_c 6.116
_cell_angle_alpha 90.00
_cell_angle_beta 90.00
_cell_angle_gamma 90.00
_symmetry_space_group_name_H-M 'F -4 3 m'
_symmetry_Int_Tables_number 216
_symmetry_space_group_name_Hall 'F -4 2 3'
loop_
_atom_site_label
_atom_site_fract_x
_atom_site_fract_y
_atom_site_fract_z
Zn1 0.000 0.000 0.000
As1 0.250 0.250 0.750
P1 0.250 0.250 0.250
```

Magnetic moment   0.000 μB/atom
Calculated volume   228.8 Å³ per cell
Formation energy   0.345 eV/atom



Calculated values (Mg/m³) of theoretical density for the records, taken in order: 4.65, 5.20, 5.47, 4.97.